1.
VASP calculation (PBE) on a relaxed structure of CaNbCu.

Cell lengths 8.7442, 3.3314, 4.4941 Å; angles 89.99, 104.93, 90.00 degrees
Sites, in units of the cell vectors:
Cu  0.5099  0.6062  0.9374
Nb  0.7585  0.1054  0.0612
Ca  0.1077  0.1055  0.7355
Ca  0.4096  0.1055  0.3869
Cu  0.0072  0.6056  0.1852
Nb  0.7586  0.6054  0.5612

Results
The value obtained for the calculated formation energy is 0.169 eV/atom. The energy comes out at -31.32 eV for the cell shown. As for the density of states at the Fermi level: 4.34 states/eV/cell. The crystal system is orthorhombic. For the energy above the lowest structure with this stoichiometry, the calculation gives 16 meV/atom.

2.
VASP calculation (PBE) on a relaxed structure of Y2ZrF.

Cell lengths 5.2310, 5.2310, 5.2310 Å; angles 60.00, 60.00, 60.00 degrees
Sites, in units of the cell vectors:
Y  0.7500  0.7500  0.7500
Zr  0.5000  0.5000  0.5000
Y  0.2500  0.2500  0.2500
F  0.0000  0.0000  0.0000

Results
The energy comes out at -23.63 eV for the cell shown. As for the density of states at the Fermi level: 6.26 states/eV/cell. The crystal system is cubic. For the energy above the lowest structure with this stoichiometry, the calculation gives 846 meV/atom.